Entry 1:
First-principles (SCAN) data for a PBEsol-optimized structure of CsBaRuO2, as listed in the Alexandria database.

Lattice parameters (Å, degrees): 4.4471 4.4471 4.9000 90.00 90.00 90.00
With the nearest neighbours (Å) after each atom.
Positions (direct):
Ba1 0.5000 0.5000 0.5000  4 Cs 3.14, 8 O 3.31
Cs1 0.0000 0.0000 0.5000  2 Ru 2.45
Ru1 0.0000 0.0000 0.0000  4 O 2.22, 2 Cs 2.45
O1 0.5000 0.0000 0.0000  2 Ru 2.22
O2 0.0000 0.5000 0.0000  2 Ru 2.22

Computed properties:
Space group = P4/mmm, No. 123
Uncorrected formation energy = -0.14 eV per atom

Entry 2:
First-principles (SCAN) data for a PBEsol-optimized structure of Y2HgRu, as listed in the Alexandria database.

Lattice parameters (Å, degrees): 3.4282 3.4282 7.8176 90.00 90.00 90.00
With the nearest neighbours (Å) after each atom.
Positions (direct):
Y1 0.5000 0.5000 0.3007  4 Hg 3.05, 1 Ru 3.39
Y2 0.0000 0.0000 0.9272  4 Ru 2.85, 1 Hg 3.05
Hg1 0.0000 0.0000 0.5377  4 Ru 2.87, 5 Y 3.05
Ru1 0.5000 0.5000 0.7344  4 Y 2.85, 4 Hg 2.87

Computed properties:
Space group = P4mm, No. 99
Energy of formation = -0.58 eV per formula unit

Entry 3:
First-principles (SCAN) data for a PBEsol-optimized structure of Sr3TiGa10O20, as listed in the Alexandria database.

Lattice parameters (Å, degrees): 5.1070 9.6937 9.6937 74.16 75.25 75.25
With the nearest neighbours (Å) after each atom.
Positions (direct):
O1 0.5806 0.3298 0.8277  3 Ga 1.86-1.94
O2 0.9868 0.2812 0.0042  2 Ga 1.85-1.86
Ga1 0.3487 0.2773 0.0071  4 O 1.83-1.86
O3 0.1074 0.6937 0.4581  2 Ga 1.85-1.98, 1 Ti 2.00
Ga2 0.8341 0.4222 0.8579  4 O 1.82-1.87
Ga3 0.1659 0.5778 0.1421  4 O 1.82-1.87
Sr1 0.0000 0.0000 0.0000  6 O 2.46-2.72
O4 0.6418 0.8773 0.6041  2 Ga 1.82-1.83
O5 0.0132 0.9958 0.7188  2 Ga 1.85-1.86
O6 0.3582 0.3959 0.1227  2 Ga 1.82-1.83
Ti1 0.0000 0.5000 0.5000  6 O 1.92-2.00
O7 0.8926 0.3063 0.5419  2 Ga 1.85-1.98, 1 Ti 2.00
O8 0.8926 0.5419 0.3063  2 Ga 1.85-1.98, 1 Ti 2.00
O9 0.6418 0.6041 0.8773  2 Ga 1.82-1.83
O10 0.4194 0.1723 0.6702  3 Ga 1.86-1.94
Ga4 0.1659 0.1421 0.5778  4 O 1.82-1.87
O11 0.6113 0.5667 0.5667  1 Ti 1.92, 2 Ga 2.06
Ga5 0.3487 0.0071 0.2773  4 O 1.83-1.86
O12 0.5087 0.0933 0.0933  2 Ga 1.83
O13 0.1074 0.4581 0.6937  2 Ga 1.85-1.98, 1 Ti 2.00
O14 0.9868 0.0042 0.2812  2 Ga 1.85-1.86
O15 0.3887 0.4333 0.4333  1 Ti 1.92, 2 Ga 2.06
Ga6 0.5000 0.3651 0.6349  6 O 1.94-2.06
Ga7 0.6513 0.7227 0.9929  4 O 1.83-1.86
O16 0.4913 0.9067 0.9067  2 Ga 1.83
O17 0.5806 0.8277 0.3298  3 Ga 1.86-1.94
O18 0.0132 0.7188 0.9958  2 Ga 1.85-1.86
Sr2 0.7135 0.2768 0.2768  5 O 2.46-2.65
Sr3 0.2865 0.7232 0.7232  5 O 2.46-2.65
Ga8 0.5000 0.6349 0.3651  6 O 1.94-2.06
O19 0.3582 0.1227 0.3959  2 Ga 1.82-1.83
O20 0.4194 0.6702 0.1723  3 Ga 1.86-1.94
Ga9 0.8341 0.8579 0.4222  4 O 1.82-1.87
Ga10 0.6513 0.9929 0.7227  4 O 1.83-1.86

Computed properties:
Space group = C2/m, No. 12
Uncorrected formation energy = -2.42 eV per atom

Entry 4:
First-principles (SCAN) data for a PBEsol-optimized structure of HgPtW2, as listed in the Alexandria database.

Lattice parameters (Å, degrees): 2.8229 2.8229 9.6911 81.63 81.63 60.00
With the nearest neighbours (Å) after each atom.
Positions (direct):
Hg1 0.5015 0.5015 0.4954  6 Hg 2.82, 3 Pt 2.97, 3 W 3.00
W1 0.9968 0.9968 0.0095  3 Pt 2.71, 9 W 2.82-2.89
W2 0.7469 0.7469 0.7593  9 W 2.82-2.89, 3 Hg 3.00
Pt1 0.2547 0.2547 0.2358  3 W 2.71, 6 Pt 2.82, 3 Hg 2.97

Computed properties:
Space group = R3m, No. 160
Energy of formation = 1.46 eV per formula unit

Entry 5:
First-principles (SCAN) data for a PBEsol-optimized structure of YMgTe, as listed in the Alexandria database.

Lattice parameters (Å, degrees): 3.7528 3.7528 6.0948 107.93 107.93 90.00
With the nearest neighbours (Å) after each atom.
Positions (direct):
Te1 0.6653 0.6653 0.3306  4 Mg 3.14, 4 Y 3.17
Mg1 0.0117 0.0117 0.0235  4 Te 3.14, 5 Y 3.37-3.42
Y1 0.3229 0.3229 0.6459  4 Te 3.17, 5 Mg 3.37-3.42

Computed properties:
ΔE to the lowest computed polymorph = 0 meV per atom
Space group = I4mm, No. 107
Uncorrected formation energy = -0.67 eV per atom

Entry 6:
First-principles (SCAN) data for a PBEsol-optimized structure of LaRu2Au, as listed in the Alexandria database.

Lattice parameters (Å, degrees): 2.8610 2.8610 9.9073 81.70 81.70 60.00
With the nearest neighbours (Å) after each atom.
Positions (direct):
La1 0.0000 0.0000 0.0000  6 La 2.86, 6 Ru 3.14
Ru1 0.2424 0.2424 0.2728  3 Au 2.77, 6 Ru 2.86
Au1 0.5000 0.5000 0.5000  6 Ru 2.77, 6 Au 2.86
Ru2 0.7576 0.7576 0.7272  3 Au 2.77, 6 Ru 2.86

Computed properties:
ΔE to the lowest computed polymorph = 659 meV per atom
Space group = R-3m, No. 166
Energy of formation = 2.79 eV per formula unit

Entry 7:
First-principles (SCAN) data for a PBEsol-optimized structure of Zr2TlCd, as listed in the Alexandria database.

Lattice parameters (Å, degrees): 3.1520 4.2785 6.2499 90.00 90.00 90.00
With the nearest neighbours (Å) after each atom.
Positions (direct):
Tl1 0.5000 0.5000 0.5000  8 Zr 3.09, 2 Cd 3.12, 2 Tl 3.15
Zr1 0.0000 0.0000 0.7531  4 Cd 3.07, 4 Zr 3.09-3.16, 4 Tl 3.09
Zr2 0.0000 0.0000 0.2469  4 Cd 3.07, 4 Zr 3.09-3.16, 4 Tl 3.09
Cd1 0.5000 0.5000 0.0000  8 Zr 3.07, 2 Tl 3.12, 2 Cd 3.15

Computed properties:
Space group = Pmmm, No. 47
Energy of formation = -1.00 eV per formula unit

Entry 8:
First-principles (SCAN) data for a PBEsol-optimized structure of SrSb7, as listed in the Alexandria database.

Lattice parameters (Å, degrees): 6.7330 6.7330 6.7330 60.00 60.00 60.00
With the nearest neighbours (Å) after each atom.
Positions (direct):
Sb1 0.0000 0.5000 0.5000  2 Sr 3.37, 10 Sb 3.37
Sb2 0.5000 0.5000 0.0000  10 Sb 3.37, 2 Sr 3.37
Sr1 0.0000 0.0000 0.0000  12 Sb 3.37
Sb3 0.0000 0.0000 0.5000  10 Sb 3.37, 2 Sr 3.37
Sb4 0.5000 0.0000 0.0000  10 Sb 3.37, 2 Sr 3.37
Sb5 0.5000 0.0000 0.5000  10 Sb 3.37, 2 Sr 3.37
Sb6 0.0000 0.5000 0.0000  10 Sb 3.37, 2 Sr 3.37
Sb7 0.5000 0.5000 0.5000  12 Sb 3.37

Computed properties:
Space group = Fm-3m, No. 225
Uncorrected formation energy = -0.02 eV per atom

Entry 9:
First-principles (SCAN) data for a PBEsol-optimized structure of GaHgSe2, as listed in the Alexandria database.

Lattice parameters (Å, degrees): 4.2942 4.2942 7.8571 74.14 74.14 60.00
With the nearest neighbours (Å) after each atom.
Positions (direct):
Hg1 0.5000 0.5000 0.5000  6 Se 2.88
Ga1 0.0000 0.0000 0.0000  2 Se 2.25
Se1 0.8993 0.8993 0.3021  1 Ga 2.25
Se2 0.1007 0.1007 0.6979  1 Ga 2.25

Computed properties:
Space group = R-3m, No. 166
Uncorrected formation energy = 0.10 eV per atom

Entry 10:
First-principles (SCAN) data for a PBEsol-optimized structure of BaNa2FeAu, as listed in the Alexandria database.

Lattice parameters (Å, degrees): 5.2995 5.2995 5.6532 90.00 90.00 90.00
With the nearest neighbours (Å) after each atom.
Positions (direct):
Au1 0.5000 0.5000 0.5000  4 Ba 3.75, 8 Na 3.87
Fe1 0.0000 0.0000 0.0000  4 Na 2.65, 2 Ba 2.83
Ba1 0.0000 0.0000 0.5000  2 Fe 2.83
Na1 0.0000 0.5000 0.0000  2 Fe 2.65
Na2 0.5000 0.0000 0.0000  2 Fe 2.65

Computed properties:
Space group = P4/mmm, No. 123
Energy of formation = 2.69 eV per formula unit

Entry 11:
First-principles (SCAN) data for a PBEsol-optimized structure of KRbOs2Rh, as listed in the Alexandria database.

Lattice parameters (Å, degrees): 4.7322 4.7322 5.0415 90.00 90.00 90.00
With the nearest neighbours (Å) after each atom.
Positions (direct):
Rh1 0.5000 0.5000 0.5000  4 K 3.35, 8 Os 3.46
Rb1 0.0000 0.0000 0.0000  4 Os 2.37, 2 K 2.52
Os1 0.5000 0.0000 0.0000  2 Rb 2.37
K1 0.0000 0.0000 0.5000  2 Rb 2.52
Os2 0.0000 0.5000 0.0000  2 Rb 2.37

Computed properties:
Space group = P4/mmm, No. 123
Energy of formation = 17.33 eV per formula unit

Entry 12:
First-principles (SCAN) data for a PBEsol-optimized structure of Mg3IrOs, as listed in the Alexandria database.

Lattice parameters (Å, degrees): 4.7623 4.7623 4.7623 90.00 90.00 90.00
With the nearest neighbours (Å) after each atom.
Positions (direct):
Ir1 0.5000 0.5000 0.5000  12 Mg 3.37
Mg1 0.5000 0.0000 0.0000  2 Os 2.38
Os1 0.0000 0.0000 0.0000  6 Mg 2.38
Mg2 0.0000 0.5000 0.0000  2 Os 2.38
Mg3 0.0000 0.0000 0.5000  2 Os 2.38

Computed properties:
Space group = Pm-3m, No. 221
Energy of formation = 6.24 eV per formula unit

Number 1: total DFT energy (no corrections) -25.0734 eV/atom, magnetic moment 0.1360 μB per atom. Number 2: total DFT energy (no corrections) -39.8147 eV/atom, magnetic moment 0.0719 μB per atom. Number 3: total DFT energy (no corrections) -13.3263 eV/atom, magnetic moment 0.0000 μB per atom. Number 4: total DFT energy (no corrections) -69.0685 eV/atom, magnetic moment 0.0000 μB per atom. Number 5: total DFT energy (no corrections) -24.0277 eV/atom, magnetic moment 0.3460 μB per atom. Number 6: total DFT energy (no corrections) -44.7818 eV/atom, magnetic moment 0.5085 μB per atom. Number 7: total DFT energy (no corrections) -41.2938 eV/atom, magnetic moment 0.0000 μB per atom. Number 8: total DFT energy (no corrections) -35.4088 eV/atom, magnetic moment 0.0000 μB per atom. Number 9: total DFT energy (no corrections) -31.0704 eV/atom, magnetic moment 0.0000 μB per atom. Number 10: total DFT energy (no corrections) -26.5156 eV/atom, magnetic moment 0.4982 μB per atom. Number 11: total DFT energy (no corrections) -37.8546 eV/atom, magnetic moment 0.0809 μB per atom. Number 12: total DFT energy (no corrections) -30.3314 eV/atom, magnetic moment 0.2871 μB per atom.